Record 1
A plane-wave DFT calculation with GGA-PBE was carried out for crystalline LaCe2Ta3N8 at its relaxed geometry.

Cell lengths 6.7892, 6.7892, 6.7892 Å; angles 57.10, 57.10, 57.10 degrees
Sites, in units of the cell vectors:
La 0.0000 0.0000 0.0000
Ce 0.2478 0.2478 0.2478
Ce 0.6253 0.6253 0.6253
Ta 0.1225 0.6259 0.6259
Ta 0.6259 0.1225 0.6259
Ta 0.6259 0.6259 0.1225
N 0.3793 0.3793 0.8257
N 0.3793 0.8257 0.3793
N 0.3908 0.3908 0.3908
N 0.4324 0.8689 0.8689
N 0.8257 0.3793 0.3793
N 0.8572 0.8572 0.8572
N 0.8689 0.4324 0.8689
N 0.8689 0.8689 0.4324

Record 2
A plane-wave DFT calculation with GGA-PBE was carried out for crystalline La4Ce3TaN8 at its relaxed geometry.

Cell lengths 7.1942, 7.1942, 7.1942 Å; angles 59.07, 59.07, 59.07 degrees
Sites, in units of the cell vectors:
La 0.0000 0.0000 0.0000
La 0.0000 0.5000 0.5000
La 0.5000 0.0000 0.5000
La 0.5000 0.5000 0.0000
Ce 0.0000 0.0000 0.5000
Ce 0.0000 0.5000 0.0000
Ce 0.5000 0.0000 0.0000
Ta 0.5000 0.5000 0.5000
N 0.2407 0.2407 0.2407
N 0.2676 0.7205 0.7205
N 0.2795 0.2795 0.7324
N 0.2795 0.7324 0.2795
N 0.7205 0.2676 0.7205
N 0.7205 0.7205 0.2676
N 0.7324 0.2795 0.2795
N 0.7593 0.7593 0.7593

Record 3
A plane-wave DFT calculation with GGA-PBE was carried out for crystalline LaTb2Ce3N6 at its relaxed geometry.

Cell lengths 6.1970, 6.1970, 6.1701 Å; angles 99.63, 99.63, 119.98 degrees
Sites, in units of the cell vectors:
La 0.0000 0.0000 0.0000
Tb 0.3334 0.6666 0.0000
Tb 0.6666 0.3334 0.0000
Ce 0.1672 0.8328 0.5000
Ce 0.5000 0.5000 0.5000
Ce 0.8328 0.1672 0.5000
N 0.0862 0.4328 0.2581
N 0.2617 0.2617 0.7438
N 0.4328 0.0862 0.2581
N 0.5672 0.9138 0.7419
N 0.7383 0.7383 0.2562
N 0.9138 0.5672 0.7419

Record 4
A plane-wave DFT calculation with GGA-PBE was carried out for crystalline La2TbCeN4 at its relaxed geometry.

Cell lengths 6.2544, 3.6296, 6.3213 Å; angles 90.00, 109.21, 90.00 degrees
Sites, in units of the cell vectors:
La 0.0000 0.0000 0.0000
La 0.5000 0.5000 0.0000
Tb 0.0000 0.5000 0.5000
Ce 0.5000 0.0000 0.5000
N 0.2479 0.0000 0.7312
N 0.2593 0.5000 0.2718
N 0.7407 0.5000 0.7282
N 0.7521 0.0000 0.2688

Record 5
A plane-wave DFT calculation with GGA-PBE was carried out for crystalline LaTbCe2N4 at its relaxed geometry.

Cell lengths 6.2124, 3.5903, 6.2409 Å; angles 90.00, 109.44, 90.00 degrees
Sites, in units of the cell vectors:
La 0.0000 0.0000 0.0000
Tb 0.0000 0.5000 0.5000
Ce 0.5000 0.0000 0.5000
Ce 0.5000 0.5000 0.0000
N 0.2571 0.0000 0.7437
N 0.2659 0.5000 0.2652
N 0.7341 0.5000 0.7348
N 0.7429 0.0000 0.2563

Record 6
A plane-wave DFT calculation with GGA-PBE was carried out for crystalline La3TbCe2N6 at its relaxed geometry.

Cell lengths 6.2798, 6.2798, 6.3342 Å; angles 99.51, 99.51, 120.01 degrees
Sites, in units of the cell vectors:
La 0.0000 0.0000 0.0000
La 0.3340 0.6660 0.0000
La 0.6660 0.3340 0.0000
Tb 0.5000 0.5000 0.5000
Ce 0.1668 0.8332 0.5000
Ce 0.8332 0.1668 0.5000
N 0.0869 0.4239 0.2717
N 0.2392 0.2392 0.7285
N 0.4239 0.0869 0.2717
N 0.5761 0.9131 0.7283
N 0.7608 0.7608 0.2715
N 0.9131 0.5761 0.7283

no.,final energy (eV per cell)
1,-136.0
2,-138.0
3,-100.1
4,-65.3
5,-66.6
6,-98.6